1.
3
Lattice="-1.193 -3.066 -3.653 -1.080 -4.694 0.984 -4.625 -1.605 -0.451" Properties=species:S:1:pos:R:3 comment="EuZnCd | Alexandria | GGA-PBE | relaxed" space_group="F-43m, No. 216" dft_energy_ev_per_cell=-12.92 delta_e_f_mev_per_atom=-152 pbc="T T T"
Cd -3.449 -4.682 -1.560
Zn -1.724 -2.341 -0.780
Eu 0.000 0.000 0.000

***

2.
4
Lattice="5.448 0.000 0.000 2.724 4.718 0.000 2.724 1.573 4.448" Properties=species:S:1:pos:R:3 comment="Eu2ZnCd | Alexandria | GGA-PBE | relaxed" space_group="Fm-3m, No. 225" dft_energy_ev_per_cell=-23.93 delta_e_f_mev_per_atom=-299 pbc="T T T"
Cd 5.448 3.146 2.224
Zn 0.000 0.000 0.000
Eu 8.172 4.718 3.336
Eu 2.724 1.573 1.112

***

3.
3
Lattice="3.873 0.000 0.000 0.000 4.804 0.000 0.000 -2.402 4.161" Properties=species:S:1:pos:R:3 comment="EuZnCd | Alexandria | GGA-PBE | relaxed" space_group="P-6m2, No. 187" dft_energy_ev_per_cell=-13.34 delta_e_f_mev_per_atom=-293 pbc="T T T"
Cd 0.647 0.000 2.774
Eu 2.582 2.402 1.387
Zn 0.644 0.000 0.000

***

Repeat the third record exactly.
3
Lattice="3.873 0.000 0.000 0.000 4.804 0.000 0.000 -2.402 4.161" Properties=species:S:1:pos:R:3 comment="EuZnCd | Alexandria | GGA-PBE | relaxed" space_group="P-6m2, No. 187" dft_energy_ev_per_cell=-13.34 delta_e_f_mev_per_atom=-293 pbc="T T T"
Cd 0.647 0.000 2.774
Eu 2.582 2.402 1.387
Zn 0.644 0.000 0.000